Compound: MnVP2O
Source: Alexandria
Functional: PBE+U
Structure: optimized geometry

a b c (Å): 4.820 4.820 3.616
angles (deg): 90.00 90.00 90.00
Atoms (fractional coordinates):
O  0.000  0.000  0.500
P  0.500  0.000  0.000
P  0.000  0.500  0.000
V  0.000  0.000  0.000
Mn  0.500  0.500  0.500

E above lowest polymorph = 0 meV/atom
Fermi-level density of states = 3.27 states/eV/f.u.
space-group type = P4/mmm (123)
calculated volume = 16.8 Å³ per atom
crystal system = tetragonal
magnetic moment = 4.899 μB/cell